# TbErRu | the Alexandria database | PBE-GGA | relaxed
# E above lowest polymorph ... 4 meV/atom
# Energy of formation from the pure elements ... -1.04 eV/f.u.
# Density of states at the Fermi level ... 6.03 states/eV/cell
# Calculated volume ... 23.7 A^3/atom
data_TbErRu
_space_group_name_H-M_alt 'P 1'
_space_group_IT_number 1
_space_group_name_Hall 'P 1'
_cell_length_a 4.261
_cell_length_b 7.579
_cell_length_c 13.212
_cell_angle_alpha 88.76
_cell_angle_beta 90.00
_cell_angle_gamma 90.00
loop_
_atom_site_label
_atom_site_fract_x
_atom_site_fract_y
_atom_site_fract_z
_atom_site_occupancy
Ru1 0.250 0.728 0.253 1
Er1 0.250 0.368 0.205 1
Ru2 0.750 0.239 0.082 1
Tb1 0.250 0.358 0.920 1
Er2 0.750 0.016 0.906 1
Tb2 0.750 0.642 0.080 1
Ru3 0.750 0.761 0.588 1
Er3 0.250 0.848 0.458 1
Er4 0.750 0.152 0.542 1
Ru4 0.250 0.239 0.412 1
Er5 0.250 0.984 0.094 1
Er6 0.750 0.632 0.795 1
Tb3 0.750 0.528 0.381 1
Tb4 0.250 0.974 0.711 1
Ru5 0.750 0.272 0.747 1
Ru6 0.250 0.761 0.918 1
Tb5 0.250 0.472 0.619 1
Tb6 0.750 0.026 0.289 1